[1]
LiScZn2 | PBE-GGA | relaxed

Geometry as extended XYZ:
```
4
Lattice="4.4800 0.0000 0.0000 2.2400 3.8798 0.0000 2.2400 1.2933 3.6579" Properties=species:S:1:pos:R:3 pbc="T T T"
Sc 6.7200 3.8798 2.7434
Zn 2.2400 1.2933 0.9145
Zn 0.0000 0.0000 0.0000
Li 4.4800 2.5865 1.8289
```

spin magnetization: 0.00 μB per formula unit
final energy: -2.96 eV per atom
space group: F-43m
volume: 63.6 Å³ per cell



[2]
LiScZn2 | PBE-GGA | relaxed

Geometry as extended XYZ:
```
4
Lattice="-1.3177 2.1977 -1.9061 -2.9071 -0.9163 0.9533 0.2261 4.4102 4.9285" Properties=species:S:1:pos:R:3 pbc="T T T"
Li -2.1124 0.6407 -0.4764
Zn 0.1755 3.4234 3.8257
Zn 0.0506 0.9868 1.1028
Sc -1.9994 2.8458 1.9878
```

spin magnetization: 0.22 μB per formula unit
final energy: -2.94 eV per atom
space group: P4/mmm
volume: 67.5 Å³ per cell



[3]
LiScZn2 | PBE-GGA | relaxed

Geometry as extended XYZ:
```
4
Lattice="4.6506 0.0000 0.0000 0.0000 3.1125 -0.0062 0.0000 0.0093 4.8467" Properties=species:S:1:pos:R:3 pbc="T T T"
Li 0.0000 1.9490 1.9894
Zn 2.3253 0.3927 1.5231
Zn 0.0000 0.3973 4.5729
Sc 2.3253 1.9531 4.0221
```

spin magnetization: 0.00 μB per formula unit
final energy: -2.92 eV per atom
space group: Pmm2
volume: 70.2 Å³ per cell